1.
# Na2Ta4Se7 | the Alexandria database | PBE-GGA | optimized geometry
data_Na2Ta4Se7
_chemical_formula_sum 'Na2 Ta4 Se7'
_cell_length_a 5.231
_cell_length_b 7.180
_cell_length_c 8.128
_cell_angle_alpha 81.90
_cell_angle_beta 75.67
_cell_angle_gamma 69.98
_space_group_name_H-M_alt 'P -1'
_space_group_IT_number 2
loop_
_space_group_symop_operation_xyz
'x,y,z'
'-x,-y,-z'
loop_
_atom_site_label
_atom_site_type_symbol
_atom_site_fract_x
_atom_site_fract_y
_atom_site_fract_z
Na1 Na 0.086 0.232 0.005
Ta1 Ta 0.070 0.181 0.476
Ta2 Ta 0.399 0.497 0.353
Se1 Se 0.124 0.448 0.668
Se2 Se 0.259 0.891 0.244
Se3 Se 0.357 0.885 0.670
Se4 Se 0.500 0.500 0.000
# ρ: 7.9 Mg/m³
# E_form (uncorrected): -0.611 eV per atom
# magnetic moment: 0.0 μB per formula unit


2.
# Na3TaSe | the Alexandria database | PBE-GGA | optimized geometry
data_Na3TaSe
_chemical_formula_sum 'Na3 Ta1 Se1'
_cell_length_a 5.483
_cell_length_b 5.483
_cell_length_c 5.483
_cell_angle_alpha 90.00
_cell_angle_beta 90.00
_cell_angle_gamma 90.00
_space_group_name_H-M_alt 'P m -3 m'
_space_group_IT_number 221
_space_group_name_Hall '-P 4 2 3'
loop_
_atom_site_label
_atom_site_type_symbol
_atom_site_fract_x
_atom_site_fract_y
_atom_site_fract_z
Na1 Na 0.000 0.000 0.500
Ta1 Ta 0.500 0.500 0.500
Se1 Se 0.000 0.000 0.000
# offset from the most stable computed form: 0 meV per atom
# ρ: 3.3 Mg/m³
# E_form (uncorrected): 0.723 eV per atom
# magnetic moment: 4.0 μB per formula unit


3.
# Na2Ta3Se8 | the Alexandria database | PBE-GGA | optimized geometry
data_Na2Ta3Se8
_chemical_formula_sum 'Na4 Ta6 Se16'
_cell_length_a 15.121
_cell_length_b 7.340
_cell_length_c 6.435
_cell_angle_alpha 90.00
_cell_angle_beta 106.42
_cell_angle_gamma 90.00
_space_group_name_H-M_alt 'C 1 2/m 1'
_space_group_IT_number 12
loop_
_space_group_symop_operation_xyz
'x,y,z'
'-x,-y,-z'
'-x,y,-z'
'x,-y,z'
'x+1/2,y+1/2,z'
'-x+1/2,-y+1/2,-z'
'-x+1/2,y+1/2,-z'
'x+1/2,-y+1/2,z'
loop_
_atom_site_label
_atom_site_type_symbol
_atom_site_fract_x
_atom_site_fract_y
_atom_site_fract_z
Na1 Na 0.247 0.000 0.158
Ta1 Ta 0.000 0.234 0.500
Ta2 Ta 0.000 0.500 0.000
Se1 Se 0.102 0.254 0.897
Se2 Se 0.105 0.500 0.397
Se3 Se 0.110 0.000 0.428
# ρ: 5.9 Mg/m³
# E_form (uncorrected): -0.800 eV per atom
# magnetic moment: 0.0 μB per formula unit